Crystalline PmPuH8Pd2 at its relaxed geometry, computed with PBE.

POSCAR file:
```
PmPuH8Pd2
1.0
-2.262 0.060 4.086
-4.668 -0.124 0.087
-2.140 -6.299 1.577
Pm Pu H Pd
1 1 8 2
Direct
0.000 0.000 0.000
0.500 0.500 0.500
0.144 0.144 0.569
0.471 0.471 0.176
0.856 0.856 0.431
0.882 0.471 0.176
0.118 0.529 0.824
0.471 0.882 0.176
0.529 0.118 0.824
0.529 0.529 0.824
0.239 0.239 0.284
0.761 0.761 0.716
```

Calculated total energy in eV/atom: -4.9059